Record 1
Entry from the Alexandria database: a geometry-optimized Dy2ScIn2 structure (PBE).

Unit cell a=4.691 b=6.549 c=8.963 alpha=90.00 beta=90.00 gamma=90.00
Space group Immm (No. 71)
Asymmetric unit:
Dy: 0.000 0.000 0.197 x4
Sc: 0.000 0.500 0.000 x2
In: 0.000 0.277 0.500 x4

total moment: 0.0 μB/f.u.
distance to the lowest polymorph of the same formula: 29 meV per atom
E_form: -0.3436 eV/atom


Record 2
Entry from the Alexandria database: a geometry-optimized Dy3ScIn2 structure (PBE).

Unit cell a=4.839 b=15.147 c=4.419 alpha=90.00 beta=90.00 gamma=90.00
Space group Cmmm (No. 65)
Asymmetric unit:
Dy: 0.000 0.000 0.000 x2
Dy: 0.000 0.329 0.000 x4
Sc: 0.000 0.500 0.500 x2
In: 0.000 0.152 0.500 x4

total moment: 0.0 μB/f.u.
distance to the lowest polymorph of the same formula: 0 meV per atom
E_form: -0.3224 eV/atom


Record 3
Entry from the Alexandria database: a geometry-optimized Dy2Sc2In structure (PBE).

Unit cell a=8.411 b=8.411 c=3.835 alpha=90.00 beta=90.00 gamma=90.00
Space group P4/mbm (No. 127)
Asymmetric unit:
Dy: 0.143 0.357 0.000 x4
Sc: 0.159 0.659 0.500 x4
In: 0.000 0.000 0.000 x2

total moment: 0.0 μB/f.u.
E_form: 0.1009 eV/atom


Record 4
Entry from the Alexandria database: a geometry-optimized Dy4ScIn2 structure (PBE).

Unit cell a=8.209 b=6.533 c=8.405 alpha=90.00 beta=118.86 gamma=90.00
Space group P2_1/m (No. 11)
Asymmetric unit:
Dy: 0.002 0.250 0.032 x2
Dy: 0.174 0.002 0.734 x4
Dy: 0.292 0.750 0.401 x2
Sc: 0.424 0.250 0.164 x2
In: 0.265 0.250 0.452 x2
In: 0.435 0.750 0.111 x2

total moment: 0.0 μB/f.u.
E_form: -0.1483 eV/atom


Record 5
Entry from the Alexandria database: a geometry-optimized DySc4In structure (PBE).

Unit cell a=5.618 b=9.927 c=5.592 alpha=90.00 beta=107.45 gamma=90.00
Space group C2/m (No. 12)
Asymmetric unit:
Dy: 0.000 0.000 0.000 x2
Sc: 0.000 0.171 0.500 x4
Sc: 0.000 0.335 0.000 x4
In: 0.000 0.500 0.500 x2

total moment: 0.3 μB/f.u.
distance to the lowest polymorph of the same formula: 0 meV per atom
E_form: -0.0921 eV/atom


Record 6
Entry from the Alexandria database: a geometry-optimized Dy12ScIn3 structure (PBE).

Unit cell a=4.843 b=4.843 c=19.605 alpha=90.00 beta=90.00 gamma=90.00
Space group P4/mmm (No. 123)
Asymmetric unit:
Dy: 0.000 0.000 0.000 x1
Dy: 0.000 0.000 0.248 x2
Dy: 0.000 0.000 0.500 x1
Dy: 0.000 0.500 0.124 x4
Dy: 0.000 0.500 0.373 x4
Sc: 0.500 0.500 0.500 x1
In: 0.500 0.500 0.000 x1
In: 0.500 0.500 0.246 x2

total moment: 0.0 μB/f.u.
E_form: -0.1913 eV/atom


Record 7
Entry from the Alexandria database: a geometry-optimized Dy4Sc3In4 structure (PBE).

Unit cell a=3.367 b=9.309 c=18.738 alpha=90.00 beta=90.00 gamma=90.00
Space group Immm (No. 71)
Asymmetric unit:
Dy: 0.000 0.180 0.159 x8
Sc: 0.000 0.000 0.409 x4
Sc: 0.000 0.500 0.500 x2
In: 0.000 0.281 0.000 x4
In: 0.000 0.500 0.223 x4

total moment: 0.0 μB/f.u.
E_form: -0.2676 eV/atom


Record 8
Entry from the Alexandria database: a geometry-optimized DyScIn structure (PBE).

Unit cell a=4.636 b=4.636 c=7.686 alpha=90.00 beta=90.00 gamma=90.00
Space group P4/nmm (No. 129, origin choice 2)
Asymmetric unit:
Dy: 0.250 0.250 0.173 x2
Sc: 0.250 0.250 0.741 x2
In: 0.250 0.750 0.500 x2

total moment: 0.0 μB/f.u.
distance to the lowest polymorph of the same formula: 294 meV per atom
E_form: -0.0754 eV/atom


Record 9
Entry from the Alexandria database: a geometry-optimized DySc4In structure (PBE).

Unit cell a=4.995 b=18.381 c=6.755 alpha=90.00 beta=90.00 gamma=90.00
Space group Cmcm (No. 63)
Asymmetric unit:
Dy: 0.000 0.123 0.250 x4
Sc: 0.000 0.061 0.750 x4
Sc: 0.000 0.334 0.033 x8
Sc: 0.000 0.500 0.000 x4
In: 0.000 0.217 0.750 x4

total moment: 0.7 μB/f.u.
distance to the lowest polymorph of the same formula: 61 meV per atom
E_form: -0.0310 eV/atom


Record 10
Entry from the Alexandria database: a geometry-optimized Dy3Sc2In structure (PBE).

Unit cell a=6.475 b=10.844 c=9.428 alpha=90.00 beta=91.72 gamma=90.00
Space group C2/c (No. 15)
Asymmetric unit:
Dy: 0.000 0.116 0.250 x4
Dy: 0.163 0.158 0.617 x8
Sc: 0.166 0.385 0.049 x8
In: 0.000 0.422 0.750 x4

total moment: 0.0 μB/f.u.
distance to the lowest polymorph of the same formula: 0 meV per atom
E_form: -0.1349 eV/atom


Record 11
Entry from the Alexandria database: a geometry-optimized Dy7Sc2In2 structure (PBE).

Unit cell a=3.552 b=17.238 c=10.774 alpha=90.00 beta=90.00 gamma=90.00
Space group Imm2 (No. 44)
Asymmetric unit:
Dy: 0.000 0.000 0.000 x2
Dy: 0.000 0.107 0.444 x4
Dy: 0.000 0.325 0.684 x4
Dy: 0.000 0.348 0.220 x4
Sc: 0.000 0.230 0.949 x4
In: 0.000 0.000 0.696 x2
In: 0.000 0.500 0.749 x2

total moment: 0.0 μB/f.u.
E_form: -0.0269 eV/atom


Record 12
Entry from the Alexandria database: a geometry-optimized Dy3Sc3In2 structure (PBE).

Unit cell a=4.679 b=4.695 c=9.360 alpha=90.00 beta=90.00 gamma=90.00
Space group Pmmm (No. 47)
Asymmetric unit:
Dy: 0.000 0.000 0.000 x1
Dy: 0.000 0.000 0.500 x1
Dy: 0.500 0.500 0.000 x1
Sc: 0.500 0.000 0.256 x2
Sc: 0.500 0.500 0.500 x1
In: 0.000 0.500 0.255 x2

total moment: 2.0 μB/f.u.
E_form: -0.2601 eV/atom